# 1
Entry from the Alexandria database: an optimized crystal structure of Mn2TcN (PBE-GGA).

a = 2.7675 Å, b = 2.7675 Å, c = 20.7463 Å
α = 90.00°, β = 90.00°, γ = 120.00°
Space group R-3m (No. 166, hexagonal axes)
One atom of each set of equivalent atoms:
Mn (0.0000, 0.0000, 0.1129) [6 per cell]
Tc (0.0000, 0.0000, 0.0000) [3 per cell]
N (0.0000, 0.0000, 0.5000) [3 per cell]

Computed properties:
DFT total energy   -9.06 eV per atom
Formation energy (no corrections)   0.80 eV per formula unit
M_tot   0.76 μB per atom

***

# 2
Entry from the Alexandria database: an optimized crystal structure of MnTcN2 (PBE-GGA).

a = 2.8620 Å, b = 2.8620 Å, c = 15.8014 Å
α = 90.00°, β = 90.00°, γ = 120.00°
Space group R3m (No. 160, hexagonal axes)
One atom of each set of equivalent atoms:
Mn (0.0000, 0.0000, 0.0000) [3 per cell]
Tc (0.0000, 0.0000, 0.1637) [3 per cell]
N (0.0000, 0.0000, 0.4045) [3 per cell]
N (0.0000, 0.0000, 0.5800) [3 per cell]

Computed properties:
DFT total energy   -8.97 eV per atom
Formation energy (no corrections)   0.31 eV per formula unit
M_tot   0.55 μB per atom

***

- What is the M_tot in the first record?
  0.76 μB per atom

***

Please write out number 1 again, unchanged.
Entry from the Alexandria database: an optimized crystal structure of Mn2TcN (PBE-GGA).

a = 2.7675 Å, b = 2.7675 Å, c = 20.7463 Å
α = 90.00°, β = 90.00°, γ = 120.00°
Space group R-3m (No. 166, hexagonal axes)
One atom of each set of equivalent atoms:
Mn (0.0000, 0.0000, 0.1129) [6 per cell]
Tc (0.0000, 0.0000, 0.0000) [3 per cell]
N (0.0000, 0.0000, 0.5000) [3 per cell]

Computed properties:
DFT total energy   -9.06 eV per atom
Formation energy (no corrections)   0.80 eV per formula unit
M_tot   0.76 μB per atom

***

- Number 2 is which compound?
  MnTcN2

***

- Look up the DFT total energy of the second one.
  -8.97 eV per atom